First-principles (PBE) data for a relaxed structure of Y5ZnIn4, as listed in Alexandria.

POSCAR file:
```
Y5ZnIn4
1.0
-1.510 2.922 1.513
-2.758 -0.216 -2.336
-9.807 -11.620 12.650
In Y Zn
4 5 1
Cartesian
-3.886 -4.604 5.012 In
-7.951 -9.421 10.255 In
-1.856 -2.199 2.394 In
-5.922 -7.016 7.638 In
-7.038 -4.457 5.913 Y
-11.084 -9.251 11.133 Y
-5.006 -2.049 3.293 Y
-9.069 -6.864 8.534 Y
-2.991 0.338 0.694 Y
0.000 0.000 0.000 Zn
```

***

First-principles (PBE) data for a relaxed structure of Y4ZnIn2, as listed in Alexandria.

POSCAR file:
```
Y4ZnIn2
1.0
4.970 0.000 1.553
2.243 4.436 1.553
-0.082 -0.051 8.994
Y In Zn
4 2 1
Cartesian
4.491 2.762 3.087 Y
6.279 3.861 6.096 Y
0.852 0.524 6.004 Y
2.640 1.623 9.013 Y
1.780 1.094 3.035 In
5.351 3.291 9.065 In
0.000 0.000 0.000 Zn
```

***

First-principles (PBE) data for a relaxed structure of YZnIn, as listed in Alexandria.

POSCAR file:
```
YZnIn
1.0
3.619 0.000 0.000
0.000 4.654 0.000
0.000 0.000 8.192
Y In Zn
2 2 2
Cartesian
2.988 0.927 5.315 Y
2.987 3.254 1.219 Y
1.179 3.254 6.763 In
1.179 3.254 3.869 In
1.177 0.927 2.478 Zn
1.177 0.927 8.152 Zn
```

***

First-principles (PBE) data for a relaxed structure of YZnIn2, as listed in Alexandria.

POSCAR file:
```
YZnIn2
1.0
-7.907 5.323 3.040
-9.082 4.196 0.032
-9.339 2.225 2.816
In Zn Y
2 1 1
Cartesian
-0.223 0.100 0.050 In
-12.940 5.772 2.894 In
-19.745 8.808 4.416 Zn
-6.582 2.936 1.472 Y
```

***

First-principles (PBE) data for a relaxed structure of Y2Zn16In, as listed in Alexandria.

POSCAR file:
```
Y2Zn16In
1.0
6.802 0.023 0.793
0.708 6.765 0.793
0.026 0.023 6.848
Zn Y In
16 2 1
Cartesian
0.797 0.721 0.892 Zn
0.057 0.052 3.355 Zn
2.596 4.734 7.639 Zn
7.300 4.734 3.436 Zn
0.387 3.305 0.433 Zn
1.638 4.382 5.063 Zn
4.972 2.106 7.639 Zn
2.804 6.786 5.796 Zn
3.327 0.052 0.433 Zn
7.034 2.106 5.796 Zn
4.524 1.188 5.063 Zn
2.651 2.396 6.273 Zn
5.446 6.786 3.436 Zn
5.937 2.396 3.337 Zn
4.848 4.382 2.194 Zn
2.982 5.665 3.337 Zn
2.533 2.289 2.835 Y
4.970 4.492 5.562 Y
6.789 6.136 7.597 In
```

***

First-principles (PBE) data for a relaxed structure of YZn2In, as listed in Alexandria.

POSCAR file:
```
YZn2In
1.0
-3.425 4.618 0.295
-5.543 1.383 -0.715
-2.256 0.269 3.869
In Zn Y
1 2 1
Cartesian
-5.604 3.128 1.729 In
-3.104 1.822 0.673 Zn
-8.808 5.865 -0.318 Zn
-8.288 4.591 2.670 Y
```

***

First-principles (PBE) data for a relaxed structure of Y2ZnIn, as listed in Alexandria.

POSCAR file:
```
Y2ZnIn
1.0
-2.217 -2.288 4.117
2.586 -3.670 2.644
1.769 0.998 4.798
Zn Y In
1 2 1
Cartesian
1.604 -3.720 8.669 Zn
-2.216 -2.288 4.117 Y
1.069 -2.480 5.780 Y
0.535 -1.240 2.890 In
```

***

First-principles (PBE) data for a relaxed structure of YZnIn2, as listed in Alexandria.

POSCAR file:
```
YZnIn2
1.0
-1.349 -1.602 -3.985
2.173 -3.858 0.815
-3.714 -1.683 1.934
In Y Zn
2 1 1
Cartesian
0.412 -2.730 -1.585 In
0.000 0.000 0.000 In
-2.532 -1.642 -1.025 Y
-0.771 -2.770 1.374 Zn
```

***

Formation enthalpy at 0 K for every record listed, in sequence, given in eV per atom: -0.4824 -0.3170 -0.4306 -0.0603 -0.2177 -0.1915 -0.4315 -0.3750.
Volume for every record listed, in sequence, given in Å³ per atom: 25.93 28.44 22.99 24.84 16.57 21.99 24.98 22.86.